# 1
# Ac2SbAu

A relaxed structure of Ac2SbAu (GGA-PBE, the Alexandria database).

a b c (Å): 5.563 5.563 4.149
angles (deg): 90.00 90.00 90.00
Space group P4/mmm (No. 123)
Unique sites:
Ac: 0.000 0.500 0.000 [2 per cell]
Sb: 0.000 0.000 0.500 [1 per cell]
Au: 0.500 0.500 0.500 [1 per cell]

Values from the calculation:
Uncorrected energy, eV/atom: -4.764
Energy relative to the lowest polymorph listed for this composition, meV per atom: 69
Formation energy without anion corrections, eV/atom: -0.860

***

# 2
# Ac2SbAu

A relaxed structure of Ac2SbAu (GGA-PBE, the Alexandria database).

a b c (Å): 8.011 8.011 8.011
angles (deg): 90.00 90.00 90.00
Space group Fm-3m (No. 225)
Unique sites:
Ac: 0.250 0.250 0.250 [8 per cell]
Sb: 0.000 0.000 0.000 [4 per cell]
Au: 0.000 0.000 0.500 [4 per cell]

Values from the calculation:
Uncorrected energy, eV/atom: -4.697
Energy relative to the lowest polymorph listed for this composition, meV per atom: 136
Formation energy without anion corrections, eV/atom: -0.793

***

# 3
# AcSbAu10

A relaxed structure of AcSbAu10 (GGA-PBE, the Alexandria database).

a b c (Å): 4.711 5.661 9.768
angles (deg): 90.00 90.00 90.00
Space group Pmmm (No. 47)
Unique sites:
Ac: 0.000 0.000 0.000 [1 per cell]
Sb: 0.000 0.500 0.500 [1 per cell]
Au: 0.000 0.000 0.343 [2 per cell]
Au: 0.000 0.500 0.184 [2 per cell]
Au: 0.500 0.000 0.500 [1 per cell]
Au: 0.500 0.244 0.244 [4 per cell]
Au: 0.500 0.500 0.000 [1 per cell]

Values from the calculation:
Uncorrected energy, eV/atom: -3.626
Formation energy without anion corrections, eV/atom: -0.209

***

# 4
# AcSbAu4

A relaxed structure of AcSbAu4 (GGA-PBE, the Alexandria database).

a b c (Å): 8.204 8.204 8.204
angles (deg): 90.00 90.00 90.00
Space group F-43m (No. 216)
Unique sites:
Ac: 0.000 0.000 0.000 [4 per cell]
Sb: 0.250 0.250 0.250 [4 per cell]
Au: 0.125 0.125 0.625 [16 per cell]

Values from the calculation:
Uncorrected energy, eV/atom: -4.026
Energy relative to the lowest polymorph listed for this composition, meV per atom: 0
Formation energy without anion corrections, eV/atom: -0.469

***

# 5
# Ac2Si2SbAu6

A relaxed structure of Ac2Si2SbAu6 (GGA-PBE, the Alexandria database).

a b c (Å): 6.6872 6.6872 25.4659
angles (deg): 90.00 90.00 120.00
Space group R-3m (No. 166, hexagonal axes)
Unique sites:
Ac: 0.0000 0.0000 0.2045 [6 per cell]
Si: 0.0000 0.0000 0.4551 [6 per cell]
Sb: 0.0000 0.0000 0.0000 [3 per cell]
Au: 0.0474 0.5237 0.7562 [18 per cell]

Values from the calculation:
Uncorrected energy, eV/atom: -4.262
Formation energy without anion corrections, eV/atom: -0.366

***

# 6
# Ac3SnSb2Au6

A relaxed structure of Ac3SnSb2Au6 (GGA-PBE, the Alexandria database).

a b c (Å): 6.5115 6.5115 8.8581
angles (deg): 90.00 90.00 120.00
Space group P-3m1 (No. 164)
Unique sites:
Ac: 0.0000 0.0000 0.0000 [1 per cell]
Ac: 0.3333 0.6667 0.6365 [2 per cell]
Sn: 0.0000 0.0000 0.5000 [1 per cell]
Sb: 0.3333 0.6667 0.0298 [2 per cell]
Au: 0.1818 0.3636 0.2870 [6 per cell]

Values from the calculation:
Uncorrected energy, eV/atom: -4.267
Formation energy without anion corrections, eV/atom: -0.580

***

# 7
# Ac2Sn3SbAu4

A relaxed structure of Ac2Sn3SbAu4 (GGA-PBE, the Alexandria database).

a b c (Å): 4.817 4.817 11.241
angles (deg): 90.00 90.00 90.00
Space group P-4m2 (No. 115)
Unique sites:
Ac: 0.000 0.500 0.234 [2 per cell]
Sn: 0.000 0.500 0.875 [2 per cell]
Sn: 0.500 0.500 0.500 [1 per cell]
Sb: 0.000 0.000 0.500 [1 per cell]
Au: 0.000 0.000 0.000 [1 per cell]
Au: 0.000 0.500 0.637 [2 per cell]
Au: 0.500 0.500 0.000 [1 per cell]

Values from the calculation:
Uncorrected energy, eV/atom: -4.369
Formation energy without anion corrections, eV/atom: -0.623

***

# 8
# SrAcSbAu

A relaxed structure of SrAcSbAu (GGA-PBE, the Alexandria database).

a b c (Å): 7.965 7.965 7.965
angles (deg): 90.00 90.00 90.00
Space group F-43m (No. 216)
Unique sites:
Sr: 0.000 0.000 0.000 [4 per cell]
Ac: 0.000 0.000 0.500 [4 per cell]
Sb: 0.250 0.250 0.750 [4 per cell]
Au: 0.250 0.250 0.250 [4 per cell]

Values from the calculation:
Uncorrected energy, eV/atom: -4.142
Formation energy without anion corrections, eV/atom: -0.844

***

# 9
# SrAcSb2Au2

A relaxed structure of SrAcSb2Au2 (GGA-PBE, the Alexandria database).

a b c (Å): 4.7477 4.7477 8.9708
angles (deg): 90.00 90.00 120.00
Space group P-3m1 (No. 164)
Unique sites:
Sr: 0.0000 0.0000 0.0000 [1 per cell]
Ac: 0.0000 0.0000 0.5000 [1 per cell]
Sb: 0.3333 0.6667 0.7611 [2 per cell]
Au: 0.3333 0.6667 0.2780 [2 per cell]

Values from the calculation:
Uncorrected energy, eV/atom: -4.333
Formation energy without anion corrections, eV/atom: -0.901

***

# 10
# AcTbSbAu

A relaxed structure of AcTbSbAu (GGA-PBE, the Alexandria database).

a b c (Å): 7.740 7.740 7.740
angles (deg): 90.00 90.00 90.00
Space group F-43m (No. 216)
Unique sites:
Ac: 0.000 0.000 0.000 [4 per cell]
Tb: 0.000 0.000 0.500 [4 per cell]
Sb: 0.250 0.250 0.750 [4 per cell]
Au: 0.250 0.250 0.250 [4 per cell]

Values from the calculation:
Uncorrected energy, eV/atom: -4.772
Formation energy without anion corrections, eV/atom: -0.737

***

# 11
# AcThSbAu

A relaxed structure of AcThSbAu (GGA-PBE, the Alexandria database).

a b c (Å): 7.785 7.785 7.785
angles (deg): 90.00 90.00 90.00
Space group F-43m (No. 216)
Unique sites:
Ac: 0.000 0.000 0.000 [4 per cell]
Th: 0.000 0.000 0.500 [4 per cell]
Sb: 0.250 0.250 0.250 [4 per cell]
Au: 0.250 0.250 0.750 [4 per cell]

Values from the calculation:
Uncorrected energy, eV/atom: -5.352
Formation energy without anion corrections, eV/atom: -0.620

***

# 12
# AcTlSbAu

A relaxed structure of AcTlSbAu (GGA-PBE, the Alexandria database).

a b c (Å): 7.858 7.858 7.858
angles (deg): 90.00 90.00 90.00
Space group F-43m (No. 216)
Unique sites:
Ac: 0.000 0.000 0.000 [4 per cell]
Tl: 0.000 0.000 0.500 [4 per cell]
Sb: 0.250 0.250 0.250 [4 per cell]
Au: 0.250 0.250 0.750 [4 per cell]

Values from the calculation:
Uncorrected energy, eV/atom: -3.990
Formation energy without anion corrections, eV/atom: -0.521

***

# 13
# AcYSbAu

A relaxed structure of AcYSbAu (GGA-PBE, the Alexandria database).

a b c (Å): 7.735 7.735 7.735
angles (deg): 90.00 90.00 90.00
Space group F-43m (No. 216)
Unique sites:
Ac: 0.000 0.000 0.000 [4 per cell]
Y: 0.000 0.000 0.500 [4 per cell]
Sb: 0.250 0.250 0.750 [4 per cell]
Au: 0.250 0.250 0.250 [4 per cell]

Values from the calculation:
Uncorrected energy, eV/atom: -5.238
Formation energy without anion corrections, eV/atom: -0.745

***

# 14
# Ac2ZnSbAu6

A relaxed structure of Ac2ZnSbAu6 (GGA-PBE, the Alexandria database).

a b c (Å): 5.484 7.262 7.264
angles (deg): 82.72 67.98 68.02
Space group P-1 (No. 2)
Unique sites:
Ac: 0.026 0.214 0.231 [2 per cell]
Zn: 0.500 0.500 0.000 [1 per cell]
Sb: 0.500 0.000 0.500 [1 per cell]
Au: 0.018 0.754 0.206 [2 per cell]
Au: 0.332 0.423 0.413 [2 per cell]
Au: 0.483 0.243 0.794 [2 per cell]

Values from the calculation:
Uncorrected energy, eV/atom: -3.858
Formation energy without anion corrections, eV/atom: -0.530

***

# 15
# Ac3ZnSb2Au6

A relaxed structure of Ac3ZnSb2Au6 (GGA-PBE, the Alexandria database).

a b c (Å): 6.4466 6.4466 8.7937
angles (deg): 90.00 90.00 120.00
Space group P-3m1 (No. 164)
Unique sites:
Ac: 0.0000 0.0000 0.0000 [1 per cell]
Ac: 0.3333 0.6667 0.6342 [2 per cell]
Zn: 0.0000 0.0000 0.5000 [1 per cell]
Sb: 0.3333 0.6667 0.0493 [2 per cell]
Au: 0.1734 0.3468 0.2976 [6 per cell]

Values from the calculation:
Uncorrected energy, eV/atom: -4.047
Formation energy without anion corrections, eV/atom: -0.588

***

# 16
# AcZnSbAu

A relaxed structure of AcZnSbAu (GGA-PBE, the Alexandria database).

a b c (Å): 7.410 7.410 7.410
angles (deg): 90.00 90.00 90.00
Space group F-43m (No. 216)
Unique sites:
Ac: 0.000 0.000 0.000 [4 per cell]
Zn: 0.250 0.250 0.250 [4 per cell]
Sb: 0.000 0.000 0.500 [4 per cell]
Au: 0.250 0.250 0.750 [4 per cell]

Values from the calculation:
Uncorrected energy, eV/atom: -3.688
Formation energy without anion corrections, eV/atom: -0.493

***

# 17
# AcSc2Au

A relaxed structure of AcSc2Au (GGA-PBE, the Alexandria database).

a b c (Å): 3.7380 3.7380 28.5292
angles (deg): 90.00 90.00 120.00
Space group R3m (No. 160, hexagonal axes)
Unique sites:
Ac: 0.0000 0.0000 0.0000 [3 per cell]
Sc: 0.0000 0.0000 0.2319 [3 per cell]
Sc: 0.0000 0.0000 0.4415 [3 per cell]
Au: 0.0000 0.0000 0.8370 [3 per cell]

Values from the calculation:
Uncorrected energy, eV/atom: -5.187
Energy relative to the lowest polymorph listed for this composition, meV per atom: 144

***

# 18
# AcSc2Au

A relaxed structure of AcSc2Au (GGA-PBE, the Alexandria database).

a b c (Å): 3.554 3.554 8.284
angles (deg): 90.00 90.00 90.00
Space group P4/mmm (No. 123)
Unique sites:
Ac: 0.000 0.000 0.000 [1 per cell]
Sc: 0.500 0.500 0.312 [2 per cell]
Au: 0.000 0.000 0.500 [1 per cell]

Values from the calculation:
Uncorrected energy, eV/atom: -5.332
Energy relative to the lowest polymorph listed for this composition, meV per atom: 0

***

# 19
# Ac2ScAu

A relaxed structure of Ac2ScAu (GGA-PBE, the Alexandria database).

a b c (Å): 3.7774 3.7774 34.8245
angles (deg): 90.00 90.00 120.00
Space group R-3m (No. 166, hexagonal axes)
Unique sites:
Ac: 0.0000 0.0000 0.0858 [6 per cell]
Sc: 0.0000 0.0000 0.5000 [3 per cell]
Au: 0.0000 0.0000 0.0000 [3 per cell]

Values from the calculation:
Uncorrected energy, eV/atom: -4.233
Energy relative to the lowest polymorph listed for this composition, meV per atom: 519

***

# 20
# Ac2ScAu

A relaxed structure of Ac2ScAu (GGA-PBE, the Alexandria database).

a b c (Å): 3.963 3.963 8.227
angles (deg): 90.00 90.00 90.00
Space group P4/mmm (No. 123)
Unique sites:
Ac: 0.000 0.000 0.230 [2 per cell]
Sc: 0.500 0.500 0.500 [1 per cell]
Au: 0.500 0.500 0.000 [1 per cell]

Values from the calculation:
Uncorrected energy, eV/atom: -4.752
Energy relative to the lowest polymorph listed for this composition, meV per atom: 0

***

# 21
# AcSc2Au

A relaxed structure of AcSc2Au (GGA-PBE, the Alexandria database).

a b c (Å): 7.352 7.352 7.352
angles (deg): 90.00 90.00 90.00
Space group Fm-3m (No. 225)
Unique sites:
Ac: 0.000 0.000 0.000 [4 per cell]
Sc: 0.250 0.250 0.250 [8 per cell]
Au: 0.000 0.000 0.500 [4 per cell]

Values from the calculation:
Uncorrected energy, eV/atom: -5.034
Energy relative to the lowest polymorph listed for this composition, meV per atom: 297

***

# 22
# AcSc2Au

A relaxed structure of AcSc2Au (GGA-PBE, the Alexandria database).

a b c (Å): 4.591 4.591 5.021
angles (deg): 90.00 90.00 90.00
Space group P4/mmm (No. 123)
Unique sites:
Ac: 0.000 0.000 0.000 [1 per cell]
Sc: 0.000 0.500 0.500 [2 per cell]
Au: 0.500 0.500 0.000 [1 per cell]

Values from the calculation:
Uncorrected energy, eV/atom: -5.153
Energy relative to the lowest polymorph listed for this composition, meV per atom: 179

***

# 23
# Ac2ScAuSe5

A relaxed structure of Ac2ScAuSe5 (GGA-PBE, the Alexandria database).

a b c (Å): 4.219 18.028 12.537
angles (deg): 90.00 90.00 90.00
Space group Cmc2_1 (No. 36)
Unique sites:
Ac: 0.000 0.117 0.000 [4 per cell]
Ac: 0.000 0.125 0.622 [4 per cell]
Sc: 0.000 0.189 0.320 [4 per cell]
Au: 0.000 0.439 0.756 [4 per cell]
Se: 0.000 0.048 0.373 [4 per cell]
Se: 0.000 0.292 0.968 [4 per cell]
Se: 0.000 0.301 0.666 [4 per cell]
Se: 0.000 0.347 0.314 [4 per cell]
Se: 0.000 0.497 0.072 [4 per cell]

Values from the calculation:
Uncorrected energy, eV/atom: -5.501
Formation energy without anion corrections, eV/atom: -1.584

***

# 24
# AcScSi2Au2

A relaxed structure of AcScSi2Au2 (GGA-PBE, the Alexandria database).

a b c (Å): 4.3665 4.3665 7.7965
angles (deg): 90.00 90.00 120.00
Space group P-3m1 (No. 164)
Unique sites:
Ac: 0.0000 0.0000 0.0000 [1 per cell]
Sc: 0.0000 0.0000 0.5000 [1 per cell]
Si: 0.3333 0.6667 0.7222 [2 per cell]
Au: 0.3333 0.6667 0.3064 [2 per cell]

Values from the calculation:
Uncorrected energy, eV/atom: -5.400
Formation energy without anion corrections, eV/atom: -0.760

***

# 25
# AcScSnAu

A relaxed structure of AcScSnAu (GGA-PBE, the Alexandria database).

a b c (Å): 7.588 7.588 7.588
angles (deg): 90.00 90.00 90.00
Space group F-43m (No. 216)
Unique sites:
Ac: 0.000 0.000 0.000 [4 per cell]
Sc: 0.000 0.000 0.500 [4 per cell]
Sn: 0.250 0.250 0.750 [4 per cell]
Au: 0.250 0.250 0.250 [4 per cell]

Values from the calculation:
Uncorrected energy, eV/atom: -4.991

***

# 26
# Ac2ScSn4Au3

A relaxed structure of Ac2ScSn4Au3 (GGA-PBE, the Alexandria database).

a b c (Å): 4.652 4.652 12.202
angles (deg): 90.00 90.00 90.00
Space group P-4m2 (No. 115)
Unique sites:
Ac: 0.000 0.500 0.244 [2 per cell]
Sc: 0.000 0.000 0.500 [1 per cell]
Sn: 0.000 0.000 0.000 [1 per cell]
Sn: 0.000 0.500 0.639 [2 per cell]
Sn: 0.500 0.500 0.000 [1 per cell]
Au: 0.000 0.500 0.862 [2 per cell]
Au: 0.500 0.500 0.500 [1 per cell]

Values from the calculation:
Uncorrected energy, eV/atom: -4.700